Entry 1:
Here is a geometry-optimized Tb3Al2 structure from OQMD. Energies are from PBE-GGA.

Values from the calculation:
Total moment (μB per atom): 0.00
E_tot (eV per formula unit): -22.98

Cell and atoms, written as POSCAR:
```
Tb3Al2
1.0
8.2739 0.0000 0.0000
0.0000 8.2739 0.0000
0.0000 0.0000 7.6190
Tb Al
12 8
direct
0.0000 0.5000 0.2500
0.0000 0.5000 0.7500
0.1494 0.1494 0.0000
0.2015 0.2015 0.5000
0.2985 0.7015 0.0000
0.3506 0.6494 0.5000
0.5000 0.0000 0.2500
0.5000 0.0000 0.7500
0.6494 0.3506 0.5000
0.7015 0.2985 0.0000
0.7985 0.7985 0.5000
0.8506 0.8506 0.0000
0.1188 0.8812 0.3064
0.1188 0.8812 0.6936
0.3812 0.3812 0.1936
0.3812 0.3812 0.8064
0.6188 0.6188 0.1936
0.6188 0.6188 0.8064
0.8812 0.1188 0.3064
0.8812 0.1188 0.6936
```

Entry 2:
Here is a geometry-optimized Tb2Al structure from OQMD. Energies are from PBE-GGA.

Values from the calculation:
Total moment (μB per atom): 0.00
E_tot (eV per formula unit): -13.86

Cell and atoms, written as POSCAR:
```
Tb2Al
1.0
6.5760 0.0000 0.0000
0.0000 5.1190 0.0000
0.0000 0.0000 9.5225
Tb Al
8 4
direct
0.0268 0.2500 0.2090
0.1884 0.2500 0.5735
0.3116 0.7500 0.0735
0.4732 0.7500 0.7090
0.5268 0.2500 0.2910
0.6884 0.2500 0.9265
0.8116 0.7500 0.4265
0.9732 0.7500 0.7910
0.2081 0.2500 0.8974
0.2919 0.7500 0.3974
0.7081 0.2500 0.6026
0.7919 0.7500 0.1026
```

Entry 3:
Here is a geometry-optimized Tb3Al2 structure from OQMD. Energies are from PBE-GGA.

Values from the calculation:
Total moment (μB per atom): 0.09
E_tot (eV per formula unit): -21.13

Cell and atoms, written as POSCAR:
```
Tb3Al2
1.0
3.2170 1.8573 8.5032
-3.2170 1.8573 8.5032
0.0000 -3.7146 8.5032
Tb Al
6 4
direct
0.0777 0.7500 0.4223
0.2500 0.5777 0.9223
0.4223 0.0777 0.7500
0.5777 0.9223 0.2500
0.7500 0.4223 0.0777
0.9223 0.2500 0.5777
0.1648 0.1648 0.1648
0.3352 0.3352 0.3352
0.6648 0.6648 0.6648
0.8352 0.8352 0.8352
```